A plane-wave DFT calculation with PBE-GGA was carried out for PaPdBr2 after structural relaxation.

```
PaPdBr2
1.0
3.4783 0.0000 0.0000
-1.7391 3.0123 0.0000
0.0000 0.0000 27.9346
Pa Pd Br
3 3 6
Cartesian
0.0000 0.0000 0.0000 Pa
0.0000 2.0082 18.6231 Pa
1.7392 1.0041 9.3115 Pa
0.0000 0.0000 13.9673 Pd
0.0000 2.0082 4.6558 Pd
1.7392 1.0041 23.2788 Pd
0.0000 0.0000 11.4638 Br
0.0000 0.0000 16.4708 Br
0.0000 2.0082 2.1523 Br
0.0000 2.0082 7.1592 Br
1.7392 1.0041 20.7753 Br
1.7392 1.0041 25.7823 Br
```

Summary:
density of states at the Fermi level: 0.671 states/eV per atom
space group: No. 166
total magnetization: 0.00 μB per formula unit
crystal system: trigonal
formation energy (no corrections): -0.49 eV/atom
raw total energy: -20.0 eV/f.u.
volume: 292.7 Å³ per cell



A plane-wave DFT calculation with PBE-GGA was carried out for Tb2Tl3HgS6 after structural relaxation.

```
Tb2Tl3HgS6
1.0
3.5190 -6.0630 0.0000
3.5190 6.0630 0.0000
-2.3956 0.0000 7.2518
Tb Tl Hg S
2 3 1 6
Cartesian
3.5190 4.0438 0.0000 Tb
3.5190 -4.0438 0.0000 Tb
-1.1978 0.0000 3.6259 Tl
2.3212 2.0475 3.6259 Tl
2.3212 -2.0475 3.6259 Tl
3.5190 0.0000 0.0000 Hg
-0.0648 2.0519 5.7406 S
1.0825 0.0000 1.5540 S
-0.0648 -2.0519 5.7406 S
4.7072 2.0519 1.5112 S
3.5599 0.0000 5.6978 S
4.7072 -2.0519 1.5112 S
```

Summary:
density of states at the Fermi level: 0.505 states/eV per atom
space group: No. 12
total magnetization: 0.00 μB per formula unit
crystal system: monoclinic
formation energy (no corrections): -0.97 eV/atom
raw total energy: -53.0 eV/f.u.
volume: 309.4 Å³ per cell



A plane-wave DFT calculation with PBE-GGA was carried out for Mg15Al2Cd2 after structural relaxation.

```
Mg15Al2Cd2
1.0
4.9782 2.8742 5.2919
-4.9782 2.8742 5.2919
0.0000 -5.7483 5.2919
Mg Al Cd
15 2 2
Cartesian
-4.9782 0.0000 7.9379 Mg
-1.6473 -2.8951 5.2919 Mg
-2.4891 1.4371 2.6460 Mg
-3.3309 0.0209 5.2919 Mg
-2.5108 -1.4496 7.9300 Mg
1.6473 -2.8951 5.2919 Mg
-1.6835 2.8742 5.2919 Mg
0.0000 -2.8992 7.9458 Mg
-2.5108 1.4496 7.9458 Mg
2.4891 1.4371 2.6460 Mg
2.5108 -1.4496 7.9300 Mg
0.0000 2.8992 7.9300 Mg
3.3309 0.0209 5.2920 Mg
1.6835 2.8742 5.2920 Mg
2.5108 1.4496 7.9458 Mg
0.0000 0.0000 1.3568 Al
0.0000 0.0000 14.5190 Al
0.0000 0.0000 4.5169 Cd
0.0000 0.0000 11.3589 Cd
```

Summary:
density of states at the Fermi level: 0.415 states/eV per atom
space group: No. 166
total magnetization: 0.00 μB per formula unit
crystal system: trigonal
ΔH_f (0 K): 0.130 eV per atom
raw total energy: -30.8 eV/f.u.
volume: 454.3 Å³ per cell



A plane-wave DFT calculation with PBE-GGA was carried out for Ba2PdAu2 after structural relaxation.

```
Ba2PdAu2
1.0
8.1846 0.0000 0.0000
0.0000 8.1846 0.0000
0.0000 0.0000 4.4952
Ba Pd Au
4 2 4
Cartesian
1.4711 2.6213 0.0000 Ba
2.6213 6.7136 0.0000 Ba
5.5634 1.4711 0.0000 Ba
6.7136 5.5634 0.0000 Ba
0.0000 0.0000 2.2476 Pd
4.0923 4.0923 2.2476 Pd
1.0257 5.1180 2.2476 Au
3.0666 1.0257 2.2476 Au
5.1180 7.1590 2.2476 Au
7.1590 3.0666 2.2476 Au
```

Summary:
density of states at the Fermi level: 0.474 states/eV per atom
space group: No. 127
total magnetization: 0.00 μB per formula unit
crystal system: tetragonal
polymorph energy (0 for the lowest one): 135 meV/atom
ΔH_f (0 K): -0.540 eV per atom
raw total energy: -18.3 eV/f.u.
volume: 301.1 Å³ per cell



> Among the records above, which one has the highest raw total energy?

Ba2PdAu2



> What is the raw total energy in the third record?

-30.8 eV/f.u.